Entry 1:
An optimized crystal structure of PaVSi2. Source: Alexandria, functional PBE.

Unit cell a=3.2575 b=3.2575 c=6.3010 alpha=90.00 beta=90.00 gamma=90.00
Space group P4/mmm (No. 123)
Unique sites:
Pa 0.0000 0.0000 0.0000
V 0.0000 0.0000 0.5000
Si 0.5000 0.5000 0.3069

Energy relative to the elements, uncorrected = -0.294 eV/atom
Magnetization = 0.00 μB/f.u.



Entry 2:
An optimized crystal structure of AcCdCo2H8. Source: Alexandria, functional PBE.

Unit cell a=4.4980 b=4.4980 c=6.5175 alpha=90.00 beta=90.00 gamma=120.00
Space group P-3 (No. 147)
Unique sites:
Ac 0.0000 0.0000 0.0000
Cd 0.0000 0.0000 0.5000
Co 0.3333 0.6667 0.6711
H 0.0369 0.6382 0.3064
H 0.3333 0.6667 0.9067

Magnetization = 0.00 μB/f.u.
Total DFT energy (no corrections) = -3.824 eV per atom



Entry 3:
An optimized crystal structure of In2Sb2Au. Source: Alexandria, functional PBE.

Unit cell a=4.2055 b=4.2055 c=16.3904 alpha=90.00 beta=90.00 gamma=90.00
Space group I4/mmm (No. 139)
Unique sites:
In 0.0000 0.0000 0.0901
Sb 0.0000 0.5000 0.2500
Au 0.0000 0.0000 0.5000

Energy relative to the elements, uncorrected = 0.175 eV/atom
Magnetization = 0.00 μB/f.u.



Entry 4:
An optimized crystal structure of LiSc2P. Source: Alexandria, functional PBE.

Unit cell a=3.6482 b=3.6482 c=5.6176 alpha=90.00 beta=90.00 gamma=90.00
Space group P4mm (No. 99)
Unique sites:
Li 0.0000 0.0000 0.0000
Sc 0.0000 0.0000 0.4447
Sc 0.5000 0.5000 0.7632
P 0.5000 0.5000 0.2706

Magnetization = 0.57 μB/f.u.
Formation enthalpy at 0 K = -498 meV/atom



Entry 5:
An optimized crystal structure of La7TmTl4. Source: Alexandria, functional PBE.

Unit cell a=14.9706 b=6.0221 c=10.9482 alpha=90.00 beta=123.78 gamma=90.00
Space group C2/m (No. 12)
Unique sites:
La 0.0000 0.0000 0.0000
La 0.0590 0.5000 0.3810
La 0.2014 0.5000 0.8852
La 0.2220 0.0000 0.6578
Tm 0.0000 0.5000 0.0000
Tl 0.0586 0.0000 0.7523
Tl 0.1875 0.0000 0.3339

Magnetization = 0.00 μB/f.u.
Formation enthalpy at 0 K = -112 meV/atom



Entry 6:
An optimized crystal structure of Ac3Tl2Rh4. Source: Alexandria, functional PBE.

Unit cell a=12.6504 b=4.2588 c=9.3646 alpha=90.00 beta=116.85 gamma=90.00
Space group C2/m (No. 12)
Unique sites:
Ac 0.0000 0.0000 0.0000
Ac 0.1285 0.5000 0.7156
Tl 0.1714 0.5000 0.3403
Rh 0.0725 0.0000 0.4302
Rh 0.2043 0.5000 0.0620

Magnetization = 0.00 μB/f.u.
Formation enthalpy at 0 K = -492 meV/atom



Entry 7:
An optimized crystal structure of GaTcHgPt2. Source: Alexandria, functional PBE.

Unit cell a=5.0881 b=5.0881 c=4.7014 alpha=90.00 beta=90.00 gamma=90.00
Space group P4/mmm (No. 123)
Unique sites:
Ga 0.0000 0.0000 0.0000
Tc 0.5000 0.5000 0.0000
Hg 0.0000 0.0000 0.5000
Pt 0.0000 0.5000 0.5000

Magnetization = 4.14 μB/f.u.
Formation enthalpy at 0 K = 1528 meV/atom



Entry 8:
An optimized crystal structure of HfRe2I. Source: Alexandria, functional PBE.

Unit cell a=6.6087 b=6.6087 c=6.6087 alpha=90.00 beta=90.00 gamma=90.00
Space group Fm-3m (No. 225)
Unique sites:
Hf 0.0000 0.0000 0.0000
Re 0.2500 0.2500 0.2500
I 0.0000 0.0000 0.5000

Energy relative to the elements, uncorrected = 0.839 eV/atom
Magnetization = 0.00 μB/f.u.



Question: Which of these has the highest magnetization?
Answer: GaTcHgPt2



Question: Which of these has the highest magnetization?
Answer: GaTcHgPt2



Question: Which value of magnetization does entry 6 give?
Answer: 0.00 μB/f.u.



Question: Which of these has the highest magnetization?
Answer: GaTcHgPt2